1) # MgBiPb6

A relaxed MgBiPb6 crystal (PBE, Alexandria via LeMat-Bulk).

Lattice parameters (Å, degrees): 4.814 7.138 7.138 89.97 90.00 90.00
Fractional coordinates of all 8 atoms:
Pb (0.500, 0.500, 0.000)
Pb (0.000, 0.756, 0.756)
Pb (0.500, 0.000, 0.500)
Pb (0.000, 0.244, 0.244)
Pb (0.000, 0.243, 0.757)
Pb (0.000, 0.757, 0.243)
Mg (0.500, 0.000, 0.000)
Bi (0.500, 0.500, 0.500)

Summary:
Magnetic moment   0.00 μB/f.u.
SG   P4/mmm (123)

---

2) # MgBiPb6

A relaxed MgBiPb6 crystal (PBE, Alexandria via LeMat-Bulk).

Lattice parameters (Å, degrees): 4.779 4.779 10.683 90.00 90.00 90.00
Fractional coordinates of all 8 atoms:
Pb (0.500, 0.500, 0.500)
Pb (0.500, 0.000, 0.260)
Pb (0.500, 0.500, 0.000)
Pb (0.500, 0.000, 0.740)
Pb (0.000, 0.500, 0.260)
Pb (0.000, 0.500, 0.740)
Bi (0.000, 0.000, 0.000)
Mg (0.000, 0.000, 0.500)

Summary:
Magnetic moment   0.00 μB/f.u.
SG   P4/mmm (123)

---

The structure with the greatest stability is 1).